No. 1
PBE BaIrPd, relaxed; offset from the most stable computed form = 0 meV/atom
1.0
-2.806 1.481 3.613
-0.825 4.694 0.634
-4.352 1.823 -0.927
Ba Pd Ir
1 1 1
Direct
0.250 0.250 0.250
0.750 0.750 0.750
0.000 0.000 0.000

***

No. 2
PBE BaIrPd2, relaxed; raw total energy = -19.6 eV/cell
1.0
0.000 3.435 3.435
3.435 0.000 3.435
3.435 3.435 0.000
Pd Ir Ba
2 1 1
Direct
0.000 0.000 0.000
0.750 0.750 0.750
0.250 0.250 0.250
0.500 0.500 0.500

***

No. 3
PBE BaIrPd, relaxed; offset from the most stable computed form = 550 meV/atom
1.0
-1.922 -4.398 0.748
-2.456 -0.914 4.090
-4.818 -0.601 -0.143
Pd Ba Ir
1 1 1
Direct
0.750 0.750 0.750
0.000 0.000 0.000
0.250 0.250 0.250

***

No. 4
PBE Ba6IrPd, relaxed; raw total energy = -27.6 eV/cell
1.0
3.923 -6.830 0.000
3.923 6.830 0.000
-2.403 0.000 7.462
Ba Pd Ir
6 1 1
Direct
0.747 0.747 0.759
0.584 0.894 0.244
0.416 0.106 0.756
0.253 0.253 0.241
0.894 0.584 0.244
0.106 0.416 0.756
0.000 0.000 0.500
0.500 0.500 0.000

***

No. 5
PBE BaSn2IrPd, relaxed; raw total energy = -53.8 eV/cell
1.0
4.803 0.000 0.000
0.000 4.803 0.000
0.000 0.000 10.523
Sn Ba Pd Ir
4 2 2 2
Direct
0.000 0.000 0.500
0.000 0.500 0.877
0.500 0.500 0.500
0.500 0.000 0.123
0.000 0.500 0.246
0.500 0.000 0.754
0.500 0.500 0.000
0.000 0.000 0.000
0.500 0.000 0.375
0.000 0.500 0.625

***

No. 6
PBE BaIrPt2, relaxed; raw total energy = -20.9 eV/cell
1.0
0.000 3.429 3.429
3.429 0.000 3.429
3.429 3.429 0.000
Pt Ir Ba
2 1 1
Direct
0.250 0.250 0.250
0.000 0.000 0.000
0.500 0.500 0.500
0.750 0.750 0.750

***

No. 7
PBE BaIrPt, relaxed; offset from the most stable computed form = 0 meV/atom
1.0
-2.567 -3.555 1.903
0.188 -0.831 4.703
-3.778 0.990 2.755
Ba Ir Pt
1 1 1
Direct
0.250 0.250 0.250
0.000 0.000 0.000
0.750 0.750 0.750

***

No. 8
PBE BaIrPt, relaxed; offset from the most stable computed form = 667 meV/atom
1.0
-3.666 -2.149 -2.309
-4.133 2.400 -0.735
-1.211 1.419 -4.461
Ba Ir Pt
1 1 1
Direct
0.000 0.000 0.000
0.250 0.250 0.250
0.750 0.750 0.750

***

No. 9
PBE Ba2Sn4IrPt, relaxed; raw total energy = -39.9 eV/cell
1.0
-5.671 3.546 3.968
1.628 -3.448 5.408
3.941 0.367 5.303
Sn Ba Ir Pt
4 2 1 1
Direct
0.701 0.162 0.162
0.805 0.838 0.838
0.195 0.838 0.838
0.299 0.162 0.162
0.500 0.443 0.443
0.000 0.557 0.557
0.000 0.284 0.284
0.500 0.717 0.717

***

No. 10
PBE RbBa3Ir, relaxed; raw total energy = -15.7 eV/cell
1.0
-0.521 2.084 5.980
-6.308 0.370 -0.679
-0.571 -5.992 2.039
Ba Ir Rb
3 1 1
Direct
0.000 0.000 0.500
0.000 0.500 0.000
0.500 0.000 0.000
0.000 0.000 0.000
0.500 0.500 0.500

***

No. 11
PBE RbBaIr, relaxed; offset from the most stable computed form = 0 meV/atom
1.0
2.113 1.269 4.752
-0.324 5.025 1.818
-3.203 1.150 4.132
Rb Ba Ir
1 1 1
Direct
0.750 0.750 0.750
0.250 0.250 0.250
0.000 0.000 0.000

***

No. 12
PBE BaRe2Ir, relaxed; raw total energy = -30.2 eV/cell
1.0
-0.050 -3.026 3.656
-4.104 -1.097 2.117
-1.860 -4.334 -0.531
Re Ir Ba
2 1 1
Direct
0.000 0.000 0.000
0.250 0.250 0.250
0.500 0.500 0.500
0.750 0.750 0.750

***

No. 13
PBE BaReIr, relaxed; offset from the most stable computed form = 0 meV/atom
1.0
0.000 3.289 3.289
3.289 0.000 3.289
3.289 3.289 0.000
Ir Ba Re
1 1 1
Direct
0.750 0.750 0.750
0.250 0.250 0.250
0.000 0.000 0.000

***

No. 14
PBE BaReIr, relaxed; offset from the most stable computed form = 1067 meV/atom
1.0
0.000 3.378 3.378
3.378 0.000 3.378
3.378 3.378 0.000
Ir Re Ba
1 1 1
Direct
0.250 0.250 0.250
0.750 0.750 0.750
0.000 0.000 0.000

***

No. 15
PBE Ba2IrS, relaxed; raw total energy = -39.0 eV/cell
1.0
-4.113 -1.362 -1.223
0.681 -4.992 3.271
-3.371 4.029 6.850
Ba Ir S
4 2 2
Direct
0.500 0.146 0.323
0.000 0.651 0.179
0.000 0.349 0.679
0.500 0.854 0.823
0.000 0.190 0.022
0.000 0.810 0.522
0.500 0.676 0.476
0.500 0.324 0.976

***

No. 16
PBE Ba2IrS, relaxed; raw total energy = -39.2 eV/cell
1.0
4.477 0.000 0.000
0.000 8.681 0.000
0.000 0.000 6.065
Ir Ba S
2 4 2
Direct
0.000 0.244 0.948
0.500 0.756 0.448
0.000 0.597 0.086
0.000 0.046 0.392
0.500 0.954 0.892
0.500 0.403 0.586
0.500 0.287 0.074
0.000 0.713 0.574

***

No. 17
PBE Ba2IrS, relaxed; raw total energy = -42.1 eV/cell
1.0
-2.518 3.809 -4.237
-4.251 -1.072 1.562
1.361 5.315 7.349
Ba Ir S
4 2 2
Direct
0.308 0.750 0.158
0.855 0.250 0.330
0.145 0.750 0.670
0.692 0.250 0.842
0.438 0.250 0.479
0.562 0.750 0.521
0.216 0.250 0.908
0.784 0.750 0.092

***

No. 18
PBE Ba2SnIrS6, relaxed; raw total energy = -49.4 eV/cell
1.0
0.000 4.953 4.953
4.953 0.000 4.953
4.953 4.953 0.000
S Ba Ir Sn
6 2 1 1
Direct
0.760 0.240 0.240
0.760 0.240 0.760
0.240 0.760 0.760
0.760 0.760 0.240
0.240 0.240 0.760
0.240 0.760 0.240
0.750 0.750 0.750
0.250 0.250 0.250
0.000 0.000 0.000
0.500 0.500 0.500

***

No. 19
PBE Ba2TcIrS6, relaxed; raw total energy = -55.3 eV/cell
1.0
4.805 -4.805 0.000
4.805 4.805 0.000
-4.805 0.000 4.805
Ba S Ir Tc
2 6 1 1
Direct
0.750 0.250 0.500
0.250 0.750 0.500
0.251 0.749 0.000
0.251 0.251 0.502
0.749 0.749 0.000
0.251 0.251 0.000
0.749 0.251 0.000
0.749 0.749 0.498
0.500 0.500 0.000
0.000 0.000 0.000

***

No. 20
PBE BaSb2Ir, relaxed; raw total energy = -18.0 eV/cell
1.0
0.000 3.755 3.755
3.755 0.000 3.755
3.755 3.755 0.000
Ir Sb Ba
1 2 1
Direct
0.250 0.250 0.250
0.000 0.000 0.000
0.750 0.750 0.750
0.500 0.500 0.500

***

No. 21
PBE BaSc2Ir, relaxed; raw total energy = -22.4 eV/cell
1.0
0.000 3.591 3.591
3.591 0.000 3.591
3.591 3.591 0.000
Sc Ir Ba
2 1 1
Direct
0.000 0.000 0.000
0.250 0.250 0.250
0.500 0.500 0.500
0.750 0.750 0.750

***

No. 22
PBE BaScIr, relaxed; offset from the most stable computed form = 953 meV/atom
1.0
1.186 -1.786 4.307
-3.106 0.289 3.662
-2.166 -3.972 1.637
Ir Ba Sc
1 1 1
Direct
0.250 0.250 0.250
0.000 0.000 0.000
0.750 0.750 0.750

***

No. 23
PBE Ba2ScIr, relaxed; raw total energy = -17.6 eV/cell
1.0
-0.601 0.866 5.297
3.960 -1.335 3.421
2.872 3.865 2.448
Ba Sc Ir
2 1 1
Direct
0.500 0.500 0.500
0.250 0.250 0.250
0.000 0.000 0.000
0.750 0.750 0.750

***

No. 24
PBE Ba2IrSe, relaxed; raw total energy = -37.6 eV/cell
1.0
4.682 0.000 0.000
0.000 6.130 0.000
0.000 0.000 8.581
Ba Se Ir
4 2 2
Direct
0.000 0.646 0.181
0.500 0.130 0.319
0.000 0.354 0.681
0.500 0.870 0.819
0.500 0.653 0.472
0.500 0.347 0.972
0.000 0.822 0.528
0.000 0.178 0.028

***

No. 25
PBE Ba2IrSe, relaxed; raw total energy = -40.5 eV/cell
1.0
-5.283 -2.693 2.353
2.577 -2.232 3.233
0.711 7.826 4.835
Ba Ir Se
4 2 2
Direct
0.192 0.250 0.833
0.346 0.250 0.338
0.808 0.750 0.167
0.654 0.750 0.662
0.058 0.750 0.520
0.942 0.250 0.480
0.717 0.250 0.909
0.283 0.750 0.091

***

No. 26
PBE Ba4Ir3Se, relaxed; raw total energy = -41.1 eV/cell
1.0
5.972 0.000 0.000
0.000 4.658 0.000
-0.097 0.000 8.961
Ba Ir Se
4 3 1
Direct
0.916 0.000 0.321
0.584 0.000 0.826
0.076 0.500 0.671
0.422 0.500 0.180
0.934 0.500 0.018
0.440 0.000 0.484
0.555 0.500 0.523
0.074 0.000 0.977

***

No. 27
PBE Ba2IrSe, relaxed; raw total energy = -37.7 eV/cell
1.0
-2.311 4.003 0.478
-7.175 -4.363 1.849
1.476 0.131 6.037
Ba Ir Se
4 2 2
Direct
0.000 0.051 0.376
0.500 0.409 0.602
0.500 0.949 0.876
0.000 0.591 0.102
0.500 0.763 0.432
0.000 0.237 0.932
0.000 0.712 0.590
0.500 0.288 0.090

***

No. 28
PBE BaSiIr2, relaxed; raw total energy = -51.5 eV/cell
1.0
3.961 0.000 0.000
0.000 8.172 0.000
0.000 0.000 5.372
Ba Ir Si
2 4 2
Direct
0.000 0.345 0.574
0.000 0.655 0.074
0.500 0.288 0.091
0.000 0.942 0.528
0.000 0.058 0.028
0.500 0.712 0.591
0.500 0.033 0.306
0.500 0.967 0.806